Material: TcHgSeN2
Method: DFT, GGA-PBE
State: optimized geometry

Properties
The energy relative to the elements, uncorrected is 0.547 eV/atom. The calculated volume comes out at 16.7 A^3/atom. As for the electronic total energy: -28.1 eV per formula unit. For the density of states at the Fermi level, the calculation gives 0.965 states/eV/atom. Its polymorph energy (0 for the lowest one) is 0 meV/atom.

Unit cell a=3.8765 b=3.8765 c=5.5424 alpha=90.00 beta=90.00 gamma=90.00
Closest atoms and distances in Å follow each position.
Positions (direct):
Tc1 0.0000 0.0000 0.0000  4 N 1.94
Hg1 0.5000 0.5000 0.5000  4 Se 2.74
Se1 0.0000 0.0000 0.5000  4 Hg 2.74, 2 Tc 2.77
N1 0.0000 0.5000 0.0000  2 Tc 1.94
N2 0.5000 0.0000 0.0000  2 Tc 1.94

***

Material: Ho3ZrCd12
Method: DFT, GGA-PBE
State: optimized geometry

Properties
The calculated volume comes out at 23.4 A^3/atom. The calculation puts the energy of formation at -199 meV/atom. As for the electronic total energy: -36.5 eV per formula unit. For the density of states at the Fermi level, the calculation gives 0.779 states/eV/atom.

Unit cell a=4.4716 b=4.4716 c=18.6868 alpha=90.00 beta=90.00 gamma=90.00
Closest atoms and distances in Å follow each position.
Positions (direct):
Ho1 0.0000 0.0000 0.0000  12 Cd 3.16-3.27
Ho2 0.0000 0.0000 0.2553  12 Cd 3.16-3.27
Ho3 0.0000 0.0000 0.7447  12 Cd 3.16-3.27
Zr1 0.0000 0.0000 0.5000  12 Cd 3.14-3.16
Cd1 0.0000 0.5000 0.1279  8 Cd 3.16-3.28, 4 Ho 3.27
Cd2 0.0000 0.5000 0.3818  8 Cd 3.14-3.24, 2 Zr 3.14, 2 Ho 3.25
Cd3 0.0000 0.5000 0.6182  8 Cd 3.14-3.24, 2 Zr 3.14, 2 Ho 3.25
Cd4 0.0000 0.5000 0.8721  8 Cd 3.16-3.28, 4 Ho 3.27
Cd5 0.5000 0.0000 0.1279  8 Cd 3.16-3.28, 4 Ho 3.27
Cd6 0.5000 0.0000 0.3818  8 Cd 3.14-3.24, 2 Zr 3.14, 2 Ho 3.25
Cd7 0.5000 0.0000 0.6182  8 Cd 3.14-3.24, 2 Zr 3.14, 2 Ho 3.25
Cd8 0.5000 0.0000 0.8721  8 Cd 3.16-3.28, 4 Ho 3.27
Cd9 0.5000 0.5000 0.0000  4 Ho 3.16, 8 Cd 3.27
Cd10 0.5000 0.5000 0.2561  4 Ho 3.16, 8 Cd 3.24-3.28
Cd11 0.5000 0.5000 0.5000  8 Cd 3.14, 4 Zr 3.16
Cd12 0.5000 0.5000 0.7439  4 Ho 3.16, 8 Cd 3.24-3.28

***

Material: Mn2Fe3
Method: DFT, GGA-PBE
State: optimized geometry

Properties
The calculated volume comes out at 11.2 A^3/atom. The calculation puts the energy of formation at 275 meV/atom. As for the electronic total energy: -42.4 eV per formula unit. For the density of states at the Fermi level, the calculation gives 1.255 states/eV/atom. Its polymorph energy (0 for the lowest one) is 233 meV/atom.

Unit cell a=2.5009 b=5.7622 c=7.9131 alpha=90.01 beta=90.22 gamma=101.92
Closest atoms and distances in Å follow each position.
Positions (direct):
Mn1 0.0000 0.0000 0.0000  3 Fe 2.24-2.36, 3 Mn 2.37-2.50
Mn2 0.0024 0.3926 0.9117  7 Fe 2.32-2.59, 3 Mn 2.37-2.50
Mn3 0.0048 0.0096 0.5017  3 Fe 2.24-2.37, 3 Mn 2.35-2.50
Mn4 0.6073 0.6230 0.4119  6 Fe 2.33-2.48, 3 Mn 2.35-2.50
Fe1 0.0034 0.3968 0.6017  4 Mn 2.33-2.45, 6 Fe 2.40-2.57
Fe2 0.3533 0.9372 0.2519  3 Mn 2.24-2.40, 4 Fe 2.38-2.50
Fe3 0.4235 0.0817 0.7521  3 Mn 2.24-2.41, 4 Fe 2.39-2.50
Fe4 0.6060 0.6182 0.1016  4 Mn 2.32-2.46, 5 Fe 2.38-2.50
Fe5 0.6515 0.6982 0.7529  6 Fe 2.39-2.62, 3 Mn 2.47-2.64
Fe6 0.9623 0.3165 0.2531  6 Fe 2.39-2.57, 3 Mn 2.47-2.66

***

Material: Pr2HgIr
Method: DFT, GGA-PBE
State: optimized geometry

Properties
The calculated volume comes out at 29.7 A^3/atom. The calculation puts the energy of formation at -525 meV/atom. As for the electronic total energy: -20.8 eV per formula unit. For the density of states at the Fermi level, the calculation gives 0.862 states/eV/atom. Its polymorph energy (0 for the lowest one) is 0 meV/atom.

Unit cell a=8.2156 b=8.2156 c=8.2156 alpha=29.50 beta=29.50 gamma=29.50
Closest atoms and distances in Å follow each position.
Positions (direct):
Pr1 0.2336 0.2336 0.2336  3 Ir 2.88
Pr2 0.7664 0.7664 0.7664  3 Ir 2.88
Hg1 0.0000 0.0000 0.0000  6 Pr 3.37
Ir1 0.5000 0.5000 0.5000  6 Pr 2.88

***

Material: BeNb2Cr
Method: DFT, GGA-PBE
State: optimized geometry

Properties
The calculated volume comes out at 14.3 A^3/atom. The calculation puts the energy of formation at 8 meV/atom. As for the electronic total energy: -33.5 eV per formula unit. For the density of states at the Fermi level, the calculation gives 0.446 states/eV/atom.

Unit cell a=3.1330 b=3.1330 c=5.8369 alpha=90.00 beta=90.00 gamma=90.00
Closest atoms and distances in Å follow each position.
Positions (direct):
Be1 0.0000 0.0000 0.0000  8 Nb 2.64, 2 Cr 2.92
Nb1 0.5000 0.5000 0.2454  4 Be 2.64, 4 Cr 2.67, 1 Nb 2.86
Nb2 0.5000 0.5000 0.7546  4 Be 2.64, 4 Cr 2.67, 1 Nb 2.86
Cr1 0.0000 0.0000 0.5000  8 Nb 2.67, 2 Be 2.92

***

Material: ZrTlSe2
Method: DFT, GGA-PBE
State: optimized geometry

Properties
The energy relative to the elements, uncorrected is -0.890 eV/atom. The calculated volume comes out at 26.9 A^3/atom. As for the electronic total energy: -21.4 eV per formula unit. For the density of states at the Fermi level, the calculation gives 0.616 states/eV/atom.

Unit cell a=15.1254 b=15.1254 c=4.0071 alpha=90.00 beta=90.00 gamma=166.41
Closest atoms and distances in Å follow each position.
Positions (direct):
Zr1 0.1867 0.8133 0.7500  7 Se 2.68-2.93
Zr2 0.8133 0.1867 0.2500  7 Se 2.68-2.93
Tl1 0.4537 0.5463 0.7500  2 Se 3.00
Tl2 0.5463 0.4537 0.2500  2 Se 3.00
Se1 0.2841 0.7159 0.7500  5 Zr 2.83-2.93
Se2 0.3796 0.6204 0.2500  2 Zr 2.68, 2 Tl 3.00
Se3 0.6204 0.3796 0.7500  2 Zr 2.68, 2 Tl 3.00
Se4 0.7159 0.2841 0.2500  5 Zr 2.83-2.93

***

Material: CaTa2BeIr
Method: DFT, GGA-PBE
State: optimized geometry

Properties
The calculated volume comes out at 21.9 A^3/atom. The calculation puts the energy of formation at 693 meV/atom. As for the electronic total energy: -34.8 eV per formula unit. For the density of states at the Fermi level, the calculation gives 1.540 states/eV/atom.

Unit cell a=4.9503 b=4.9503 c=4.4773 alpha=90.00 beta=90.00 gamma=90.00
Closest atoms and distances in Å follow each position.
Positions (direct):
Ca1 0.0000 0.0000 0.0000  8 Ta 3.34, 4 Be 3.50
Ta1 0.0000 0.5000 0.5000  2 Ir 2.48
Ta2 0.5000 0.0000 0.5000  2 Ir 2.48
Be1 0.5000 0.5000 0.0000  2 Ir 2.24
Ir1 0.5000 0.5000 0.5000  2 Be 2.24, 4 Ta 2.48

***

Material: MoPdPt
Method: DFT, GGA-PBE
State: optimized geometry

Properties
The calculated volume comes out at 15.5 A^3/atom. The calculation puts the energy of formation at -189 meV/atom. As for the electronic total energy: -22.6 eV per formula unit. For the density of states at the Fermi level, the calculation gives 1.013 states/eV/atom. Its polymorph energy (0 for the lowest one) is 72 meV/atom.

Unit cell a=6.2314 b=6.2314 c=3.9569 alpha=90.00 beta=90.00 gamma=142.74
Closest atoms and distances in Å follow each position.
Positions (direct):
Mo1 0.0786 0.9214 0.7500  6 Pt 2.71-2.81, 2 Mo 2.71, 4 Pd 2.82-2.85
Mo2 0.9214 0.0786 0.2500  6 Pt 2.71-2.81, 2 Mo 2.71, 4 Pd 2.82-2.85
Pd1 0.2523 0.7477 0.2500  4 Pd 2.81, 4 Mo 2.82-2.85, 4 Pt 2.83-2.87
Pd2 0.7477 0.2523 0.7500  4 Pd 2.81, 4 Mo 2.82-2.85, 4 Pt 2.83-2.87
Pt1 0.4231 0.5769 0.7500  2 Pt 2.69, 6 Mo 2.71-2.81, 4 Pd 2.83-2.87
Pt2 0.5769 0.4231 0.2500  2 Pt 2.69, 6 Mo 2.71-2.81, 4 Pd 2.83-2.87

***

Material: LiHPtSe
Method: DFT, GGA-PBE
State: optimized geometry

Properties
The calculated volume comes out at 14.8 A^3/atom. As for the electronic total energy: -16.1 eV per formula unit. For the density of states at the Fermi level, the calculation gives 0.162 states/eV/atom. Its polymorph energy (0 for the lowest one) is 92 meV/atom.

Unit cell a=4.5239 b=2.8616 c=5.0212 alpha=90.00 beta=114.10 gamma=90.00
Closest atoms and distances in Å follow each position.
Positions (direct):
Li1 0.0000 0.0000 0.0000  1 H 2.10
H1 0.1698 0.0000 0.4569  2 Pt 1.72
Pt1 0.9820 0.5000 0.4982  2 H 1.72
Se1 0.5008 0.5000 0.9939  2 Pt 2.58-2.63, 4 Li 2.66-2.69, 2 Se 2.86, 2 H 2.87

***

Material: Mo2PdI
Method: DFT, GGA-PBE
State: optimized geometry

Properties
The energy relative to the elements, uncorrected is 1.467 eV/atom. The calculated volume comes out at 25.4 A^3/atom. As for the electronic total energy: -22.5 eV per formula unit. For the density of states at the Fermi level, the calculation gives 1.481 states/eV/atom. Its polymorph energy (0 for the lowest one) is 756 meV/atom.

Unit cell a=7.2618 b=7.2618 c=7.2618 alpha=132.72 beta=132.72 gamma=69.09
Closest atoms and distances in Å follow each position.
Positions (direct):
Mo1 0.0924 0.6250 0.9674  2 Pd 2.44, 2 I 2.66
Mo2 0.3750 0.3424 0.4674  2 Pd 2.44, 2 I 2.66
Mo3 0.6576 0.1250 0.0326  2 Pd 2.44, 2 I 2.66
Mo4 0.8750 0.9076 0.5326  2 Pd 2.44, 2 I 2.66
Pd1 0.0000 0.0000 0.0000  4 Mo 2.44
Pd2 0.7500 0.2500 0.5000  4 Mo 2.44
I1 0.2500 0.7500 0.5000  4 Mo 2.66
I2 0.5000 0.5000 0.0000  4 Mo 2.66